# 1
Mn3HOs: optimized geometry, PBE.

The calculated total energy is -8.3776 eV per atom. As for the space group: P2_1/m, No. 11.

a b c (Å): 2.6092 5.2072 7.3601
angles (deg): 90.08 90.00 90.00
Last column: magnetic moment on the atom in μB.
Sites, in units of the cell vectors:
H: 0.6996 0.9355 0.7427  0.00
Mn: 0.1996 0.6770 0.7409  -1.43
Os: 0.6996 0.4428 0.9858  -0.08
Mn: 0.6996 0.4251 0.4951  1.24
Mn: 0.1996 0.1894 0.7362  1.24
H: 0.1996 0.6790 0.4887  0.00
Mn: 0.1996 0.6895 0.2354  0.87
Mn: 0.6996 0.9250 0.9959  0.87
Os: 0.1996 0.1717 0.2456  -0.08
Mn: 0.6996 0.9375 0.4904  -1.43



# 2
CaBe6Au12: optimized geometry, PBE.

The calculated total energy is -3.4397 eV per atom. As for the space group: Im-3, No. 204. The formation energy is -0.09 eV/atom.

a b c (Å): 7.3438 7.3438 7.3438
angles (deg): 109.47 109.47 109.47
Sites, in units of the cell vectors:
Ca: 0.0000 0.0000 0.0000
Au: 0.4835 0.1750 0.3085
Be: 0.5000 0.8719 0.3719
Au: 0.3085 0.4835 0.1750
Au: 0.5165 0.8250 0.6915
Be: 0.1281 0.6281 0.5000
Be: 0.6281 0.5000 0.1281
Be: 0.8719 0.3719 0.5000
Au: 0.6915 0.8666 0.1750
Au: 0.8250 0.6915 0.5165
Au: 0.3085 0.1334 0.8250
Au: 0.8250 0.3085 0.1334
Au: 0.1334 0.8250 0.3085
Au: 0.6915 0.5165 0.8250
Au: 0.1750 0.3085 0.4835
Be: 0.3719 0.5000 0.8719
Be: 0.5000 0.1281 0.6281
Au: 0.8666 0.1750 0.6915
Au: 0.1750 0.6915 0.8666



# 3
Mg2FeSe: optimized geometry, PBE.

The calculated total energy is -3.8748 eV per atom. For the uncorrected formation energy, the calculation gives -0.09 eV/atom. As for the space group: Imm2, No. 44.

a b c (Å): 6.1044 6.1044 4.4367
angles (deg): 68.63 68.63 29.05
Last column: magnetic moment on the atom in μB.
Sites, in units of the cell vectors:
Se: 0.5705 0.5705 0.4298  -0.03
Fe: 0.2309 0.2309 0.2693  1.21
Mg: 0.9434 0.9434 0.0562  -0.01
Mg: 0.7552 0.7552 0.7447  -0.01



Q: Which value of calculated total energy does entry 3 give?
A: -3.8748 eV per atom



Q: What is the calculated total energy in the first record?
A: -8.3776 eV per atom